## Co2SO (PBE with a Hubbard U)

Data for an optimized crystal structure of Co2SO.

It has space group P6_3mc (No. 186), with a = 3.4076 Å, b = 3.4076 Å, c = 11.0166 Å, α = 90.00°, β = 90.00° and γ = 120.00°. The asymmetric unit holds Co at (0.0000, 0.0000, 0.0000), Co at (0.3333, 0.6667, 0.2632), S at (0.3333, 0.6667, 0.6071) and O at (0.0000, 0.0000, 0.3299).

The energy above the most stable polymorph in this dataset is 7.5 kJ/mol of atoms. The calculation puts the calculated volume at 13.85 Å³ per atom. The calculation puts the theoretical density at 5.0 g cm⁻³.